(1)
A plane-wave DFT calculation with SCAN was carried out for a PBEsol-optimized structure of Ba2LaMnAu.

Cell and atoms, written as POSCAR:
```
Ba2LaMnAu
1.0
-1.887 3.080 4.339
-4.073 -4.500 1.423
4.234 -2.654 3.727
Mn Au Ba La
1 1 2 1
Direct
0.500 0.500 0.500 Mn
0.000 0.000 0.000 Au
0.000 0.000 0.500 Ba
0.000 0.500 0.000 Ba
0.500 0.000 0.000 La
```

## Properties
Total energy = -41.9035 eV/atom
Energy of formation from the pure elements = 0.02 eV/atom
Symmetry = P4/mmm (123)

***

(2)
A plane-wave DFT calculation with SCAN was carried out for a PBEsol-optimized structure of Li2FeCu.

Cell and atoms, written as POSCAR:
```
Li2FeCu
1.0
-2.149 1.173 -0.016
-0.753 -1.434 -4.166
-1.722 -3.114 3.012
Cu Fe Li
1 1 2
Direct
0.500 0.000 0.500 Cu
0.000 0.500 0.500 Fe
0.000 0.000 0.000 Li
0.500 0.500 0.000 Li
```

## Properties
Total energy = -9.3705 eV/atom
Energy of formation from the pure elements = 0.16 eV/atom
Symmetry = P2/m (10)

***

(3)
A plane-wave DFT calculation with SCAN was carried out for a PBEsol-optimized structure of ZrTaZnB2.

Cell and atoms, written as POSCAR:
```
ZrTaZnB2
1.0
4.318 0.000 0.000
0.000 4.318 0.000
0.000 0.000 4.996
Zn B Zr Ta
1 2 1 1
Direct
0.500 0.500 0.500 Zn
0.000 0.500 0.000 B
0.500 0.000 0.000 B
0.000 0.000 0.000 Zr
0.000 0.000 0.500 Ta
```

## Properties
Total energy = -23.0955 eV/atom
Energy of formation from the pure elements = 2.04 eV/atom
Symmetry = P4/mmm (123)

***

(4)
A plane-wave DFT calculation with SCAN was carried out for a PBEsol-optimized structure of HfTaMn3.

Cell and atoms, written as POSCAR:
```
HfTaMn3
1.0
4.455 0.000 0.000
0.000 4.455 0.000
0.000 0.000 4.455
Mn Hf Ta
3 1 1
Direct
0.000 0.500 0.000 Mn
0.000 0.000 0.500 Mn
0.500 0.000 0.000 Mn
0.500 0.500 0.500 Hf
0.000 0.000 0.000 Ta
```

## Properties
Total energy = -35.8103 eV/atom
Energy of formation from the pure elements = 0.99 eV/atom
Symmetry = Pm-3m (221)

***

(5)
A plane-wave DFT calculation with SCAN was carried out for a PBEsol-optimized structure of Tc2NiCl.

Cell and atoms, written as POSCAR:
```
Tc2NiCl
1.0
-0.025 -2.382 -1.293
1.136 -2.050 3.753
-4.376 -0.519 1.041
Cl Ni Tc
1 1 2
Direct
0.500 0.500 0.000 Cl
0.000 0.500 0.500 Ni
0.000 0.000 0.000 Tc
0.500 0.000 0.500 Tc
```

## Properties
Total energy = -22.6892 eV/atom
Symmetry = Pmmm (47)
Relative energy among the computed polymorphs = 591.2 meV/atom

***

(6)
A plane-wave DFT calculation with SCAN was carried out for a PBEsol-optimized structure of NiSbP.

Cell and atoms, written as POSCAR:
```
NiSbP
1.0
-1.463 3.144 -3.038
-2.736 -3.520 1.173
-2.059 2.948 4.043
Ni P Sb
2 2 2
Direct
0.000 0.000 0.000 Ni
0.000 0.000 0.500 Ni
0.333 0.667 0.750 P
0.667 0.333 0.250 P
0.333 0.667 0.250 Sb
0.667 0.333 0.750 Sb
```

## Properties
Total energy = -20.5834 eV/atom
Symmetry = P6_3/mmc (194)
Relative energy among the computed polymorphs = 927.4 meV/atom